# TiTlCdRh2 | the Alexandria database | PBE-GGA | optimized geometry
# Magnetic moment ... 0.0 μB per cell
# Total DFT energy (no corrections) ... -4.69 eV per atom
data_TiTlCdRh2
_chemical_formula_sum 'Ti1 Tl1 Cd1 Rh2'
_space_group_name_H-M_alt 'P 4/m m m'
_space_group_IT_number 123
_space_group_name_Hall '-P 4 2'
_cell_length_a 4.5715
_cell_length_b 4.5715
_cell_length_c 5.4154
_cell_angle_alpha 90.00
_cell_angle_beta 90.00
_cell_angle_gamma 90.00
loop_
_atom_site_label
_atom_site_fract_x
_atom_site_fract_y
_atom_site_fract_z
Ti1 0.0000 0.0000 0.0000
Tl1 0.5000 0.5000 0.5000
Cd1 0.0000 0.0000 0.5000
Rh1 0.0000 0.5000 0.0000

---

# Tm2Ti2CdRh5 | the Alexandria database | PBE-GGA | optimized geometry
# Magnetic moment ... 0.0 μB per cell
# Total DFT energy (no corrections) ... -6.83 eV per atom
data_Tm2Ti2CdRh5
_chemical_formula_sum 'Tm4 Ti4 Cd2 Rh10'
_space_group_name_H-M_alt 'P 4/m b m'
_space_group_IT_number 127
_space_group_name_Hall '-P 4 2ab'
_cell_length_a 10.0147
_cell_length_b 10.0147
_cell_length_c 3.5767
_cell_angle_alpha 90.00
_cell_angle_beta 90.00
_cell_angle_gamma 90.00
loop_
_atom_site_label
_atom_site_fract_x
_atom_site_fract_y
_atom_site_fract_z
Tm1 0.1792 0.3208 0.0000
Ti1 0.1198 0.6198 0.0000
Cd1 0.0000 0.0000 0.0000
Rh1 0.0000 0.5000 0.5000
Rh2 0.0668 0.7883 0.5000

---

# Zr2Ti2CdRh5 | the Alexandria database | PBE-GGA | optimized geometry
# Magnetic moment ... 0.0 μB per cell
# Total DFT energy (no corrections) ... -7.52 eV per atom
data_Zr2Ti2CdRh5
_chemical_formula_sum 'Zr4 Ti4 Cd2 Rh10'
_space_group_name_H-M_alt 'P 4/m b m'
_space_group_IT_number 127
_space_group_name_Hall '-P 4 2ab'
_cell_length_a 9.6377
_cell_length_b 9.6377
_cell_length_c 3.6933
_cell_angle_alpha 90.00
_cell_angle_beta 90.00
_cell_angle_gamma 90.00
loop_
_atom_site_label
_atom_site_fract_x
_atom_site_fract_y
_atom_site_fract_z
Zr1 0.1787 0.3213 0.0000
Ti1 0.1199 0.6199 0.0000
Cd1 0.0000 0.0000 0.0000
Rh1 0.0000 0.5000 0.5000
Rh2 0.0659 0.7893 0.5000

---

# TlCdRh | the Alexandria database | PBE-GGA | optimized geometry
# ΔE to the lowest computed polymorph ... 0.44 eV/f.u.
# Magnetic moment ... 0.0 μB per cell
# Total DFT energy (no corrections) ... -3.49 eV per atom
data_TlCdRh
_chemical_formula_sum 'Tl4 Cd4 Rh4'
_space_group_name_H-M_alt 'P n m a'
_space_group_IT_number 62
_space_group_name_Hall '-P 2ac 2n'
_cell_length_a 9.1835
_cell_length_b 4.5792
_cell_length_c 6.4121
_cell_angle_alpha 90.00
_cell_angle_beta 90.00
_cell_angle_gamma 90.00
loop_
_atom_site_label
_atom_site_fract_x
_atom_site_fract_y
_atom_site_fract_z
Tl1 0.1374 0.2500 0.0092
Cd1 0.1133 0.2500 0.5086
Rh1 0.1234 0.7500 0.7655

---

# TlCd2Rh | the Alexandria database | PBE-GGA | optimized geometry
# ΔE to the lowest computed polymorph ... 0.57 eV/f.u.
# Magnetic moment ... 0.0 μB per cell
# Total DFT energy (no corrections) ... -2.78 eV per atom
data_TlCd2Rh
_chemical_formula_sum 'Tl3 Cd6 Rh3'
_space_group_name_H-M_alt 'R -3 m'
_space_group_IT_number 166
_space_group_name_Hall '-R 3 2"'
_cell_length_a 3.2347
_cell_length_b 3.2347
_cell_length_c 28.4725
_cell_angle_alpha 90.00
_cell_angle_beta 90.00
_cell_angle_gamma 120.00
loop_
_atom_site_label
_atom_site_fract_x
_atom_site_fract_y
_atom_site_fract_z
Tl1 0.0000 0.0000 0.0000
Cd1 0.0000 0.0000 0.2389
Rh1 0.0000 0.0000 0.5000

---

# Tl4CdRh | the Alexandria database | PBE-GGA | optimized geometry
# Magnetic moment ... 0.0 μB per cell
# Total DFT energy (no corrections) ... -2.38 eV per atom
data_Tl4CdRh
_chemical_formula_sum 'Tl16 Cd4 Rh4'
_space_group_name_H-M_alt 'F -4 3 m'
_space_group_IT_number 216
_space_group_name_Hall 'F -4 2 3'
_cell_length_a 8.7399
_cell_length_b 8.7399
_cell_length_c 8.7399
_cell_angle_alpha 90.00
_cell_angle_beta 90.00
_cell_angle_gamma 90.00
loop_
_atom_site_label
_atom_site_fract_x
_atom_site_fract_y
_atom_site_fract_z
Tl1 0.1245 0.1245 0.3755
Cd1 0.0000 0.0000 0.0000
Rh1 0.2500 0.2500 0.7500